Entry 1:
Here is a relaxed TaCoRe2 crystal from Alexandria via LeMat-Bulk. Energies are from PBE-GGA.

Computed properties:
E above lowest polymorph = 90 meV per atom
space-group type = Immm, No. 71
total magnetization = 1.8 μB/f.u.
DFT formation energy = 0.06 eV per atom

Lattice parameters (Å, degrees): 5.129 5.129 5.129 144.07 130.01 63.09
Atoms (fractional coordinates):
1 Ta 0.000 0.000 0.000
2 Co 0.500 0.500 0.000
3 Re 0.247 0.747 0.500
4 Re 0.753 0.253 0.500

Entry 2:
Here is a relaxed U2PaAs2Ru2 crystal from Alexandria via LeMat-Bulk. Energies are from PBE-GGA.

Computed properties:
space-group type = R-3m, No. 166
total magnetization = 2.8 μB/f.u.
DFT formation energy = -0.51 eV per atom

Lattice parameters (Å, degrees): 8.566 8.566 8.566 29.48 29.48 29.48
Atoms (fractional coordinates):
1 U 0.145 0.145 0.145
2 U 0.855 0.855 0.855
3 Pa 0.000 0.000 0.000
4 As 0.268 0.268 0.268
5 As 0.732 0.732 0.732
6 Ru 0.435 0.435 0.435
7 Ru 0.565 0.565 0.565

Entry 3:
Here is a relaxed Pr3PuSe4 crystal from Alexandria via LeMat-Bulk. Energies are from PBE-GGA.

Computed properties:
E above lowest polymorph = 3 meV per atom
space-group type = Cmmm, No. 65
total magnetization = 5.8 μB/f.u.

Lattice parameters (Å, degrees): 7.350 7.350 4.217 90.00 90.00 109.20
Atoms (fractional coordinates):
1 Pr 0.000 0.000 0.000
2 Pr 0.000 0.500 0.500
3 Pr 0.500 0.000 0.500
4 Pu 0.500 0.500 0.000
5 Se 0.254 0.746 0.000
6 Se 0.257 0.257 0.500
7 Se 0.743 0.743 0.500
8 Se 0.746 0.254 0.000

Entry 4:
Here is a relaxed CuNiRuBr2 crystal from Alexandria via LeMat-Bulk. Energies are from PBE-GGA.

Computed properties:
space-group type = P4/mmm, No. 123
DFT total energy = -3.525 eV/atom
total magnetization = 2.5 μB/f.u.

Lattice parameters (Å, degrees): 4.725 4.725 4.787 90.00 90.00 90.00
Atoms (fractional coordinates):
1 Cu 0.000 0.000 0.000
2 Ni 0.500 0.500 0.500
3 Ru 0.500 0.500 0.000
4 Br 0.000 0.500 0.500
5 Br 0.500 0.000 0.500